VASP calculation (PBE) on a geometry-optimized FeCuSiSe structure.

abc: 3.6971 2.6835 12.3194
angles: 90.00 97.42 90.00
With the nearest neighbours (Å) after each atom.
Element x y z (fractional)
1 Se 0.2923 0.0000 0.7083  1 Fe 2.35
2 Si 0.7034 0.5000 0.4833  4 Fe 2.32, 2 Cu 2.52
3 Se 0.2923 0.5000 0.2083  1 Fe 2.35
4 Fe 0.2164 0.0000 0.5157  4 Si 2.32, 1 Se 2.35
5 Si 0.7034 0.0000 0.9833  4 Fe 2.32, 2 Cu 2.52
6 Cu 0.8415 0.0000 0.3209  2 Si 2.52, 1 Fe 2.61, 4 Se 2.66-2.67, 2 Cu 2.68
7 Fe 0.2164 0.5000 0.0157  4 Si 2.32, 1 Se 2.35
8 Cu 0.8415 0.5000 0.8209  2 Si 2.52, 1 Fe 2.61, 4 Se 2.66-2.67, 2 Cu 2.68

Results
- energy relative to the elements, uncorrected (meV per atom) = 20
- D(E_F) (states/eV/f.u.) = 1.915
- energy above the lowest structure with this stoichiometry (meV per atom) = 105
- total moment (μB per formula unit) = 0.8